Entry from Alexandria via LeMat-Bulk: a relaxed structure of PaPdPb2Se5 (GGA-PBE).

Calculated values
**Mass density**: 7.6 g/cm3
**SG**: Cmc2_1 (36)
**Formation energy without anion corrections**: -764 meV/atom

abc: 4.0965 9.4105 13.3127
angles: 90.00 90.00 102.57
Element x y z (fractional)
Pb1 0.0990 0.1980 0.2958
Pb2 0.1087 0.2174 0.6503
Pb3 0.8913 0.7826 0.1503
Pb4 0.9010 0.8020 0.7958
Se1 0.7064 0.4129 0.8818
Se2 0.4877 0.9754 0.2863
Se3 0.2936 0.5871 0.3818
Se4 0.2775 0.5551 0.6689
Se5 0.6428 0.2857 0.4976
Se6 0.9471 0.8942 0.5619
Se7 0.3572 0.7143 0.9976
Se8 0.5123 0.0246 0.7863
Se9 0.7225 0.4449 0.1689
Se10 0.0529 0.1058 0.0619
Pd1 0.5779 0.1559 0.9572
Pd2 0.4221 0.8441 0.4572
Pa1 0.2046 0.4092 0.0240
Pa2 0.7954 0.5908 0.5240